## Si3NiBi (SCAN)

Data for a crystal of Si3NiBi relaxed with PBEsol.

```
Si3NiBi
1.0
-4.3629 0.4499 0.9900
-0.7748 -4.1582 -1.5250
0.7630 -1.6503 4.1123
Si Bi Ni
3 1 1
Direct
0.0000 0.5000 0.0000 Si
0.0000 0.0000 0.5000 Si
0.5000 0.0000 0.0000 Si
0.5000 0.5000 0.5000 Bi
0.0000 0.0000 0.0000 Ni
```

Output
DOS(E_F) = 1.75 states/eV per cell
space group = Pm-3m (221)
formation energy from raw total energies = 2.34 eV/f.u.
size of the total moment = 0.00 μB/f.u.